A plane-wave DFT calculation with PBE-GGA was carried out for a relaxed structure of Tb13Nd3.

The calculation puts the density of states at the Fermi level at 28.4 states/eV/f.u. For the uncorrected energy, the calculation gives -4.64 eV per atom. The relative energy among the computed polymorphs comes out at 0.095 eV/f.u.

The structure belongs to space group Amm2 (No. 38); the cell edges are 7.304, 11.447 and 12.620 Å and the angles 90.00°, 90.00° and 90.00°. The asymmetric unit holds Tb at (0.000, 0.000, 0.000), Tb at (0.000, 0.000, 0.497), Tb at (0.000, 0.248, 0.166), Tb at (0.249, 0.248, 0.416), Tb at (0.250, 0.000, 0.249), Tb at (0.500, 0.000, 0.497), Tb at (0.500, 0.249, 0.166), Nd at (0.249, 0.000, 0.747) and Nd at (0.500, 0.000, 0.000).



A plane-wave DFT calculation with PBE-GGA was carried out for a relaxed structure of Tb4Nd.

The calculation puts the density of states at the Fermi level at 6.3 states/eV/f.u. For the uncorrected energy, the calculation gives -4.64 eV per atom. The relative energy among the computed polymorphs comes out at 0.000 eV/f.u.

The structure belongs to space group C2/m (No. 12); the cell edges are 6.210, 3.583 and 14.737 Å and the angles 90.00°, 98.02° and 90.00°. The asymmetric unit holds Tb at (0.099, 0.000, 0.297), Tb at (0.200, 0.500, 0.099) and Nd at (0.000, 0.500, 0.500).



A plane-wave DFT calculation with PBE-GGA was carried out for a relaxed structure of TbNd.

The calculation puts the density of states at the Fermi level at 3.6 states/eV/f.u. For the uncorrected energy, the calculation gives -4.58 eV per atom. The relative energy among the computed polymorphs comes out at 0.215 eV/f.u.

The structure belongs to space group Imm2 (No. 44); the cell edges are 3.584, 18.531 and 6.184 Å and the angles 90.00°, 90.00° and 90.00°. The asymmetric unit holds Tb at (0.000, 0.000, 0.000), Tb at (0.000, 0.159, 0.331), Nd at (0.000, 0.343, 0.332) and Nd at (0.000, 0.500, 0.997).



A plane-wave DFT calculation with PBE-GGA was carried out for a relaxed structure of Tb7Nd5.

The calculation puts the density of states at the Fermi level at 21.0 states/eV/f.u. For the uncorrected energy, the calculation gives -4.51 eV per atom. The relative energy among the computed polymorphs comes out at 2.096 eV/f.u.

The structure belongs to space group C2/m (No. 12); the cell edges are 9.651, 5.832 and 14.873 Å and the angles 90.00°, 104.12° and 90.00°. The asymmetric unit holds Tb at (0.000, 0.000, 0.000), Tb at (0.042, 0.500, 0.714), Tb at (0.181, 0.000, 0.583), Tb at (0.243, 0.500, 0.172), Nd at (0.000, 0.500, 0.500), Nd at (0.122, 0.000, 0.299) and Nd at (0.136, 0.500, 0.936).



A plane-wave DFT calculation with PBE-GGA was carried out for a relaxed structure of Tb2Nd5.

The calculation puts the density of states at the Fermi level at 11.6 states/eV/f.u. For the uncorrected energy, the calculation gives -4.54 eV per atom. The relative energy among the computed polymorphs comes out at 0.395 eV/f.u.

The structure belongs to space group C2/m (No. 12); the cell edges are 16.544, 3.565 and 11.497 Å and the angles 90.00°, 132.65° and 90.00°. The asymmetric unit holds Tb at (0.137, 0.000, 0.411), Nd at (0.000, 0.500, 0.500), Nd at (0.131, 0.000, 0.862) and Nd at (0.162, 0.500, 0.167).



A plane-wave DFT calculation with PBE-GGA was carried out for a relaxed structure of Tb7Nd3.

The calculation puts the density of states at the Fermi level at 16.4 states/eV/f.u. For the uncorrected energy, the calculation gives -4.49 eV per atom. The relative energy among the computed polymorphs comes out at 1.617 eV/f.u.

The structure belongs to space group P6_3mc (No. 186); the cell edges are 10.8526, 10.8526 and 6.5298 Å and the angles 90.00°, 90.00° and 120.00°. The asymmetric unit holds Tb at (0.0588, 0.5294, 0.0000), Tb at (0.1204, 0.2408, 0.8286), Tb at (0.3333, 0.6667, 0.6967) and Nd at (0.2039, 0.4079, 0.3479).



A plane-wave DFT calculation with PBE-GGA was carried out for a relaxed structure of Tb7Nd5.

The calculation puts the density of states at the Fermi level at 15.9 states/eV/f.u. For the uncorrected energy, the calculation gives -4.68 eV per atom. The relative energy among the computed polymorphs comes out at 0.000 eV/f.u.

The structure belongs to space group C2/m (No. 12); the cell edges are 18.818, 3.628 and 13.275 Å and the angles 90.00°, 118.19° and 90.00°. The asymmetric unit holds Tb at (0.000, 0.000, 0.000), Tb at (0.028, 0.500, 0.250), Tb at (0.138, 0.000, 0.749), Tb at (0.166, 0.000, 0.498), Nd at (0.000, 0.500, 0.500), Nd at (0.165, 0.500, 0.998) and Nd at (0.195, 0.000, 0.251).



A plane-wave DFT calculation with PBE-GGA was carried out for a relaxed structure of Tb8Nd3.

The calculation puts the density of states at the Fermi level at 18.8 states/eV/f.u. For the uncorrected energy, the calculation gives -4.13 eV per atom. The relative energy among the computed polymorphs comes out at 5.716 eV/f.u.

The structure belongs to space group R-3 (No. 148, hexagonal axes); the cell edges are 9.8384, 9.8384 and 13.0750 Å and the angles 90.00°, 90.00° and 120.00°. The asymmetric unit holds Tb at (0.0000, 0.0000, 0.1265), Tb at (0.0292, 0.8085, 0.6120) and Nd at (0.0000, 0.5000, 0.5000).



A plane-wave DFT calculation with PBE-GGA was carried out for a relaxed structure of Tb2Nd.

The calculation puts the density of states at the Fermi level at 3.9 states/eV/f.u. For the uncorrected energy, the calculation gives -4.66 eV per atom. The relative energy among the computed polymorphs comes out at 0.037 eV/f.u.

The structure belongs to space group I4/mmm (No. 139); the cell edges are 3.602, 3.602 and 15.277 Å and the angles 90.00°, 90.00° and 90.00°. The asymmetric unit holds Tb at (0.000, 0.000, 0.168) and Nd at (0.000, 0.000, 0.500).



A plane-wave DFT calculation with PBE-GGA was carried out for a relaxed structure of Tb17Nd2.

The calculation puts the density of states at the Fermi level at 34.8 states/eV/f.u. For the uncorrected energy, the calculation gives -4.37 eV per atom.

The structure belongs to space group R-3m (No. 166, hexagonal axes); the cell edges are 11.2285, 11.2285 and 17.6591 Å and the angles 90.00°, 90.00° and 120.00°. The asymmetric unit holds Tb at (0.0000, 0.0000, 0.0948), Tb at (0.0000, 0.2974, 0.0000), Tb at (0.0000, 0.5000, 0.5000), Tb at (0.0136, 0.5068, 0.1362) and Nd at (0.0000, 0.0000, 0.3259).



For reference, ΔE_f by record: 0.02 0.01 0.12 0.18 0.19 0.18 0.00 0.53 0.02 0.27 eV/atom.
For reference, M_tot by record: 0.000 0.000 0.000 0.000 0.000 0.000 0.000 0.000 0.000 0.000 μB/atom.